# 1
LaSb2Ru: optimized geometry, GGA-PBE.

Cell and atoms, written as POSCAR:
```
LaSb2Ru
1.0
2.197 1.268 6.105
-2.197 1.268 6.105
0.000 -2.537 6.105
La Sb Ru
1 2 1
direct
0.000 0.000 0.000
0.215 0.215 0.215
0.436 0.436 0.436
0.816 0.816 0.816
```

- Formation energy from raw total energies: -0.5898 eV per atom
- Total energy: -6.20 eV per atom
- DOS(E_F): 0.450 states/eV per atom
- Volume: 25.512 Å³/atom



# 2
LaSbRu2: optimized geometry, GGA-PBE.

Cell and atoms, written as POSCAR:
```
LaSbRu2
1.0
-2.002 2.002 4.933
2.002 -2.002 4.933
2.002 2.002 -4.933
La Sb Ru
1 1 2
direct
0.000 0.000 0.000
0.750 0.250 0.500
0.250 0.750 0.500
0.500 0.500 0.000
```

- Formation energy from raw total energies: -0.0330 eV per atom
- Total energy: -6.93 eV per atom
- DOS(E_F): 0.707 states/eV per atom
- Volume: 19.770 Å³/atom



# 3
LaSb2Ru: optimized geometry, GGA-PBE.

Cell and atoms, written as POSCAR:
```
LaSb2Ru
1.0
3.312 0.000 0.000
0.000 3.312 0.000
0.000 0.000 9.383
La Sb Ru
1 2 1
direct
0.000 0.000 0.000
0.000 0.000 0.375
0.500 0.500 0.725
0.500 0.500 0.224
```

- Formation energy from raw total energies: -0.2608 eV per atom
- Total energy: -5.87 eV per atom
- DOS(E_F): 0.678 states/eV per atom
- Volume: 25.733 Å³/atom



# 4
La3SbRu: optimized geometry, GGA-PBE.

Cell and atoms, written as POSCAR:
```
La3SbRu
1.0
8.525 0.000 0.000
0.000 4.609 0.000
0.000 0.000 15.467
La Sb Ru
12 4 4
direct
0.027 0.250 0.107
0.147 0.250 0.507
0.195 0.750 0.289
0.305 0.250 0.789
0.353 0.750 0.007
0.473 0.750 0.607
0.527 0.250 0.393
0.647 0.250 0.993
0.695 0.750 0.211
0.805 0.250 0.711
0.853 0.750 0.493
0.973 0.750 0.893
0.086 0.750 0.676
0.414 0.250 0.176
0.586 0.750 0.824
0.914 0.250 0.324
0.171 0.250 0.935
0.329 0.750 0.435
0.671 0.250 0.565
0.829 0.750 0.065
```

- Formation energy from raw total energies: -0.7174 eV per atom
- Total energy: -6.35 eV per atom
- DOS(E_F): 0.642 states/eV per atom
- Volume: 30.389 Å³/atom
- Energy relative to the lowest polymorph listed for this composition: 0.00 kJ/mol of atoms